Below is ZnTeI2Cl after structural relaxation, with properties calculated at the PBE level.

Lattice parameters (Å, degrees): 5.743 5.743 5.493 90.00 90.00 90.00
Space group P4/mmm (No. 123)
Inequivalent atoms, fractional coordinates:
Zn (0.000, 0.000, 0.000)
Te (0.500, 0.500, 0.000)
I (0.000, 0.500, 0.500)
Cl (0.500, 0.500, 0.500)

- energy (eV/atom) = -1.28
- E_form (uncorrected) (eV per formula unit) = 2.97
- M_tot (μB per formula unit) = 0.0
- mass density (g cm⁻³) = 4.4
- ΔE to the lowest computed polymorph (kJ/mol of formula units) = 177
- DOS(E_F) (states/eV per cell) = 4.11